Record 1
This record from the Alexandria database describes LiTe2Pd6 after structural relaxation. The functional is PBE-GGA.

CIF file:
```
data_LiTe2Pd6
_chemical_formula_sum 'Li2 Te4 Pd12'
_space_group_name_H-M_alt 'P 1 21/c 1'
_space_group_IT_number 14
_space_group_name_Hall '-P 2ybc'
_cell_length_a 6.7242
_cell_length_b 6.2917
_cell_length_c 9.6962
_cell_angle_alpha 90.00
_cell_angle_beta 126.88
_cell_angle_gamma 90.00
loop_
_atom_site_label
_atom_site_fract_x
_atom_site_fract_y
_atom_site_fract_z
Li1 0.0000 0.0000 0.0000
Te1 0.2931 0.1704 0.7435
Pd1 0.0273 0.6607 0.2218
Pd2 0.2716 0.6337 0.0451
Pd3 0.4401 0.1743 0.0671
```

Results
Final energy in eV/atom: -4.67

Record 2
This record from the Alexandria database describes Li6TePd5 after structural relaxation. The functional is PBE-GGA.

CIF file:
```
data_Li6TePd5
_chemical_formula_sum 'Li12 Te2 Pd10'
_space_group_name_H-M_alt 'I m m m'
_space_group_IT_number 71
_space_group_name_Hall '-I 2 2'
_cell_length_a 3.9798
_cell_length_b 7.5765
_cell_length_c 11.8233
_cell_angle_alpha 90.00
_cell_angle_beta 90.00
_cell_angle_gamma 90.00
loop_
_atom_site_label
_atom_site_fract_x
_atom_site_fract_y
_atom_site_fract_z
Li1 0.0000 0.2264 0.0000
Li2 0.0000 0.2607 0.3303
Te1 0.0000 0.0000 0.5000
Pd1 0.0000 0.0000 0.1717
Pd2 0.0000 0.5000 0.1645
Pd3 0.0000 0.5000 0.5000
```

Results
Final energy in eV/atom: -3.88

Record 3
This record from the Alexandria database describes Li2Te2Pd after structural relaxation. The functional is PBE-GGA.

CIF file:
```
data_Li2Te2Pd
_chemical_formula_sum 'Li4 Te4 Pd2'
_space_group_name_H-M_alt 'P 4/m b m'
_space_group_IT_number 127
_space_group_name_Hall '-P 4 2ab'
_cell_length_a 7.2567
_cell_length_b 7.2567
_cell_length_c 4.3133
_cell_angle_alpha 90.00
_cell_angle_beta 90.00
_cell_angle_gamma 90.00
loop_
_atom_site_label
_atom_site_fract_x
_atom_site_fract_y
_atom_site_fract_z
Li1 0.1489 0.3511 0.0000
Te1 0.1658 0.6658 0.5000
Pd1 0.0000 0.0000 0.5000
```

Results
Final energy in eV/atom: -3.65

Record 4
This record from the Alexandria database describes LiTePd3 after structural relaxation. The functional is PBE-GGA.

CIF file:
```
data_LiTePd3
_chemical_formula_sum 'Li1 Te1 Pd3'
_space_group_name_H-M_alt 'P m -3 m'
_space_group_IT_number 221
_space_group_name_Hall '-P 4 2 3'
_cell_length_a 4.9851
_cell_length_b 4.9851
_cell_length_c 4.9851
_cell_angle_alpha 90.00
_cell_angle_beta 90.00
_cell_angle_gamma 90.00
loop_
_atom_site_label
_atom_site_fract_x
_atom_site_fract_y
_atom_site_fract_z
Li1 0.0000 0.0000 0.0000
Te1 0.5000 0.5000 0.5000
Pd1 0.0000 0.5000 0.5000
```

Results
Energy above the lowest structure with this stoichiometry in meV/atom: 450

Record 5
This record from the Alexandria database describes LiTePd after structural relaxation. The functional is PBE-GGA.

CIF file:
```
data_LiTePd
_chemical_formula_sum 'Li2 Te2 Pd2'
_space_group_name_H-M_alt 'I 4 m m'
_space_group_IT_number 107
_space_group_name_Hall 'I 4 -2'
_cell_length_a 3.6854
_cell_length_b 3.6854
_cell_length_c 8.1059
_cell_angle_alpha 90.00
_cell_angle_beta 90.00
_cell_angle_gamma 90.00
loop_
_atom_site_label
_atom_site_fract_x
_atom_site_fract_y
_atom_site_fract_z
Li1 0.0000 0.0000 0.0000
Te1 0.0000 0.0000 0.6729
Pd1 0.0000 0.0000 0.3315
```

Results
Energy above the lowest structure with this stoichiometry in meV/atom: 144

Record 6
This record from the Alexandria database describes LiTe2Pd4 after structural relaxation. The functional is PBE-GGA.

CIF file:
```
data_LiTe2Pd4
_chemical_formula_sum 'Li1 Te2 Pd4'
_space_group_name_H-M_alt 'P 4/m m m'
_space_group_IT_number 123
_space_group_name_Hall '-P 4 2'
_cell_length_a 4.5159
_cell_length_b 4.5159
_cell_length_c 6.3116
_cell_angle_alpha 90.00
_cell_angle_beta 90.00
_cell_angle_gamma 90.00
loop_
_atom_site_label
_atom_site_fract_x
_atom_site_fract_y
_atom_site_fract_z
Li1 0.0000 0.0000 0.0000
Te1 0.0000 0.0000 0.5000
Te2 0.5000 0.5000 0.0000
Pd1 0.0000 0.5000 0.2520
```

Results
Final energy in eV/atom: -4.52

Record 7
This record from the Alexandria database describes LiTe2Pd8 after structural relaxation. The functional is PBE-GGA.

CIF file:
```
data_LiTe2Pd8
_chemical_formula_sum 'Li2 Te4 Pd16'
_space_group_name_H-M_alt 'C 1 2/m 1'
_space_group_IT_number 12
_space_group_name_Hall '-C 2y'
_cell_length_a 7.5074
_cell_length_b 11.9349
_cell_length_c 4.5721
_cell_angle_alpha 90.00
_cell_angle_beta 111.08
_cell_angle_gamma 90.00
loop_
_atom_site_label
_atom_site_fract_x
_atom_site_fract_y
_atom_site_fract_z
Li1 0.0000 0.0000 0.0000
Te1 0.0000 0.3172 0.5000
Pd1 0.0000 0.2152 0.0000
Pd2 0.1301 0.5000 0.8302
Pd3 0.1973 0.1164 0.6099
```

Results
Energy above the lowest structure with this stoichiometry in meV/atom: 104

Record 8
This record from the Alexandria database describes LiTe2Pd8 after structural relaxation. The functional is PBE-GGA.

CIF file:
```
data_LiTe2Pd8
_chemical_formula_sum 'Li2 Te4 Pd16'
_space_group_name_H-M_alt 'C 1 2/m 1'
_space_group_IT_number 12
_space_group_name_Hall '-C 2y'
_cell_length_a 14.9821
_cell_length_b 4.3882
_cell_length_c 5.4851
_cell_angle_alpha 90.00
_cell_angle_beta 93.85
_cell_angle_gamma 90.00
loop_
_atom_site_label
_atom_site_fract_x
_atom_site_fract_y
_atom_site_fract_z
Li1 0.0000 0.0000 0.0000
Te1 0.1354 0.5000 0.1786
Pd1 0.0384 0.5000 0.7437
Pd2 0.0910 0.0000 0.4389
Pd3 0.1816 0.0000 0.9293
Pd4 0.2146 0.5000 0.6158
```

Results
Energy above the lowest structure with this stoichiometry in meV/atom: 0

Record 9
This record from the Alexandria database describes Li3Te2Pd6 after structural relaxation. The functional is PBE-GGA.

CIF file:
```
data_Li3Te2Pd6
_chemical_formula_sum 'Li12 Te8 Pd24'
_space_group_name_H-M_alt 'I m -3 m'
_space_group_IT_number 229
_space_group_name_Hall '-I 4 2 3'
_cell_length_a 9.5766
_cell_length_b 9.5766
_cell_length_c 9.5766
_cell_angle_alpha 90.00
_cell_angle_beta 90.00
_cell_angle_gamma 90.00
loop_
_atom_site_label
_atom_site_fract_x
_atom_site_fract_y
_atom_site_fract_z
Li1 0.0000 0.0000 0.3237
Te1 0.2500 0.2500 0.2500
Pd1 0.0000 0.3429 0.3429
```

Results
Final energy in eV/atom: -4.28

Record 10
This record from the Alexandria database describes LiTePd3 after structural relaxation. The functional is PBE-GGA.

CIF file:
```
data_LiTePd3
_chemical_formula_sum 'Li2 Te2 Pd6'
_space_group_name_H-M_alt 'A m m 2'
_space_group_IT_number 38
_space_group_name_Hall 'A 2 -2'
_cell_length_a 4.0534
_cell_length_b 5.4800
_cell_length_c 9.3155
_cell_angle_alpha 90.00
_cell_angle_beta 90.00
_cell_angle_gamma 90.00
loop_
_atom_site_label
_atom_site_fract_x
_atom_site_fract_y
_atom_site_fract_z
Li1 0.0000 0.0000 0.0000
Te1 0.5000 0.0000 0.6529
Pd1 0.0000 0.2457 0.2525
Pd2 0.5000 0.0000 0.3789
```

Results
Energy above the lowest structure with this stoichiometry in meV/atom: 165

Record 11
This record from the Alexandria database describes Li3TePd after structural relaxation. The functional is PBE-GGA.

CIF file:
```
data_Li3TePd
_chemical_formula_sum 'Li3 Te1 Pd1'
_space_group_name_H-M_alt 'P m -3 m'
_space_group_IT_number 221
_space_group_name_Hall '-P 4 2 3'
_cell_length_a 4.6717
_cell_length_b 4.6717
_cell_length_c 4.6717
_cell_angle_alpha 90.00
_cell_angle_beta 90.00
_cell_angle_gamma 90.00
loop_
_atom_site_label
_atom_site_fract_x
_atom_site_fract_y
_atom_site_fract_z
Li1 0.0000 0.0000 0.5000
Te1 0.5000 0.5000 0.5000
Pd1 0.0000 0.0000 0.0000
```

Results
Energy above the lowest structure with this stoichiometry in meV/atom: 0

Record 12
This record from the Alexandria database describes LiTe4Pd2 after structural relaxation. The functional is PBE-GGA.

CIF file:
```
data_LiTe4Pd2
_chemical_formula_sum 'Li4 Te16 Pd8'
_space_group_name_H-M_alt 'C 1 2/c 1'
_space_group_IT_number 15
_space_group_name_Hall '-C 2yc'
_cell_length_a 11.4393
_cell_length_b 11.4668
_cell_length_c 8.1088
_cell_angle_alpha 90.00
_cell_angle_beta 134.84
_cell_angle_gamma 90.00
loop_
_atom_site_label
_atom_site_fract_x
_atom_site_fract_y
_atom_site_fract_z
Li1 0.0000 0.1246 0.2500
Te1 0.0014 0.2633 0.5281
Te2 0.2231 0.4869 0.9717
Pd1 0.0000 0.5000 0.0000
Pd2 0.2500 0.2500 0.0000
```

Results
Final energy in eV/atom: -3.93

Record 13
This record from the Alexandria database describes LiTePd after structural relaxation. The functional is PBE-GGA.

CIF file:
```
data_LiTePd
_chemical_formula_sum 'Li4 Te4 Pd4'
_space_group_name_H-M_alt 'F -4 3 m'
_space_group_IT_number 216
_space_group_name_Hall 'F -4 2 3'
_cell_length_a 6.2322
_cell_length_b 6.2322
_cell_length_c 6.2322
_cell_angle_alpha 90.00
_cell_angle_beta 90.00
_cell_angle_gamma 90.00
loop_
_atom_site_label
_atom_site_fract_x
_atom_site_fract_y
_atom_site_fract_z
Li1 0.0000 0.0000 0.0000
Te1 0.0000 0.0000 0.5000
Pd1 0.2500 0.2500 0.2500
```

Results
Energy above the lowest structure with this stoichiometry in meV/atom: 0

Record 14
This record from the Alexandria database describes LiTePd6 after structural relaxation. The functional is PBE-GGA.

CIF file:
```
data_LiTePd6
_chemical_formula_sum 'Li1 Te1 Pd6'
_space_group_name_H-M_alt 'P -1'
_space_group_IT_number 2
_space_group_name_Hall '-P 1'
_cell_length_a 5.0952
_cell_length_b 5.0991
_cell_length_c 5.1885
_cell_angle_alpha 93.43
_cell_angle_beta 94.53
_cell_angle_gamma 93.53
loop_
_atom_site_label
_atom_site_fract_x
_atom_site_fract_y
_atom_site_fract_z
Li1 0.0000 0.0000 0.0000
Te1 0.5000 0.5000 0.5000
Pd1 0.0545 0.4396 0.7521
Pd2 0.2494 0.9412 0.5675
Pd3 0.4346 0.7510 0.0617
```

Results
Energy above the lowest structure with this stoichiometry in meV/atom: 129

Record 15
This record from the Alexandria database describes Li2TePd5 after structural relaxation. The functional is PBE-GGA.

CIF file:
```
data_Li2TePd5
_chemical_formula_sum 'Li4 Te2 Pd10'
_space_group_name_H-M_alt 'I 4/m m m'
_space_group_IT_number 139
_space_group_name_Hall '-I 4 2'
_cell_length_a 5.7985
_cell_length_b 5.7985
_cell_length_c 7.3560
_cell_angle_alpha 90.00
_cell_angle_beta 90.00
_cell_angle_gamma 90.00
loop_
_atom_site_label
_atom_site_fract_x
_atom_site_fract_y
_atom_site_fract_z
Li1 0.0000 0.5000 0.0000
Te1 0.0000 0.0000 0.0000
Pd1 0.0000 0.0000 0.5000
Pd2 0.2500 0.2500 0.2500
```

Results
Final energy in eV/atom: -4.56

Record 16
This record from the Alexandria database describes Li2TePd2 after structural relaxation. The functional is PBE-GGA.

CIF file:
```
data_Li2TePd2
_chemical_formula_sum 'Li4 Te2 Pd4'
_space_group_name_H-M_alt 'P 4/m b m'
_space_group_IT_number 127
_space_group_name_Hall '-P 4 2ab'
_cell_length_a 7.0595
_cell_length_b 7.0595
_cell_length_c 3.4079
_cell_angle_alpha 90.00
_cell_angle_beta 90.00
_cell_angle_gamma 90.00
loop_
_atom_site_label
_atom_site_fract_x
_atom_site_fract_y
_atom_site_fract_z
Li1 0.1521 0.3479 0.0000
Te1 0.0000 0.0000 0.5000
Pd1 0.1458 0.6458 0.5000
```

Results
Energy above the lowest structure with this stoichiometry in meV/atom: 0

Record 17
This record from the Alexandria database describes LiTePd after structural relaxation. The functional is PBE-GGA.

CIF file:
```
data_LiTePd
_chemical_formula_sum 'Li1 Te1 Pd1'
_space_group_name_H-M_alt 'P -6 m 2'
_space_group_IT_number 187
_space_group_name_Hall 'P -6 2'
_cell_length_a 4.5520
_cell_length_b 4.5520
_cell_length_c 3.3275
_cell_angle_alpha 90.00
_cell_angle_beta 90.00
_cell_angle_gamma 120.00
loop_
_atom_site_label
_atom_site_fract_x
_atom_site_fract_y
_atom_site_fract_z
Li1 0.0000 0.0000 0.0000
Te1 0.3333 0.6667 0.5000
Pd1 0.6667 0.3333 0.5000
```

Results
Energy above the lowest structure with this stoichiometry in meV/atom: 123

Record 18
This record from the Alexandria database describes LiTi3Te6Pd2 after structural relaxation. The functional is PBE-GGA.

CIF file:
```
data_LiTi3Te6Pd2
_chemical_formula_sum 'Li2 Ti6 Te12 Pd4'
_space_group_name_H-M_alt 'C 1 2/m 1'
_space_group_IT_number 12
_space_group_name_Hall '-C 2y'
_cell_length_a 18.1688
_cell_length_b 4.0654
_cell_length_c 8.5834
_cell_angle_alpha 90.00
_cell_angle_beta 109.20
_cell_angle_gamma 90.00
loop_
_atom_site_label
_atom_site_fract_x
_atom_site_fract_y
_atom_site_fract_z
Li1 0.0000 0.0000 0.0000
Ti1 0.0000 0.0000 0.5000
Ti2 0.1503 0.5000 0.7981
Te1 0.0110 0.5000 0.2784
Te2 0.1634 0.0000 0.5896
Te3 0.1828 0.0000 0.0607
Pd1 0.0864 0.5000 0.0543
```

Results
Final energy in eV/atom: -5.19

Record 19
This record from the Alexandria database describes LiTlTePd after structural relaxation. The functional is PBE-GGA.

CIF file:
```
data_LiTlTePd
_chemical_formula_sum 'Li4 Tl4 Te4 Pd4'
_space_group_name_H-M_alt 'F -4 3 m'
_space_group_IT_number 216
_space_group_name_Hall 'F -4 2 3'
_cell_length_a 6.9889
_cell_length_b 6.9889
_cell_length_c 6.9889
_cell_angle_alpha 90.00
_cell_angle_beta 90.00
_cell_angle_gamma 90.00
loop_
_atom_site_label
_atom_site_fract_x
_atom_site_fract_y
_atom_site_fract_z
Li1 0.0000 0.0000 0.0000
Tl1 0.2500 0.2500 0.2500
Te1 0.2500 0.2500 0.7500
Pd1 0.0000 0.0000 0.5000
```

Results
Final energy in eV/atom: -3.53

Record 20
This record from the Alexandria database describes Li4Zr3Te8Pd after structural relaxation. The functional is PBE-GGA.

CIF file:
```
data_Li4Zr3Te8Pd
_chemical_formula_sum 'Li12 Zr9 Te24 Pd3'
_space_group_name_H-M_alt 'R -3 m'
_space_group_IT_number 166
_space_group_name_Hall '-R 3 2"'
_cell_length_a 8.1620
_cell_length_b 8.1620
_cell_length_c 21.0729
_cell_angle_alpha 90.00
_cell_angle_beta 90.00
_cell_angle_gamma 120.00
loop_
_atom_site_label
_atom_site_fract_x
_atom_site_fract_y
_atom_site_fract_z
Li1 0.0000 0.0000 0.0000
Li2 0.0000 0.5000 0.0000
Zr1 0.0000 0.5000 0.5000
Te1 0.0000 0.0000 0.2503
Te2 0.0079 0.5039 0.2474
Pd1 0.0000 0.0000 0.5000
```

Results
Final energy in eV/atom: -4.78